# GGA-PBE SrBePt2, relaxed
# - DOS at the Fermi energy: 0.79 states/eV/atom
# - Calculated density: 10.9 g/cm3
# - E: -4.34 eV/atom
# - Calculated formation energy: 2.8 kJ/mol of atoms
# - M_tot: 0.0 μB per formula unit
# - Crystal system: cubic
data_SrBePt2
_symmetry_space_group_name_H-M 'F -4 3 m'
_symmetry_Int_Tables_number 216
_symmetry_space_group_name_Hall 'F -4 2 3'
_cell_length_a 6.6644
_cell_length_b 6.6644
_cell_length_c 6.6644
_cell_angle_alpha 90.00
_cell_angle_beta 90.00
_cell_angle_gamma 90.00
loop_
_atom_site_label
_atom_site_fract_x
_atom_site_fract_y
_atom_site_fract_z
Sr1 0.0000 0.0000 0.0000
Be1 0.2500 0.2500 0.2500
Pt1 0.0000 0.0000 0.5000
Pt2 0.2500 0.2500 0.7500